DFT (GGA-PBE) results for Sr2YTc after structural relaxation. Values from VASP.

Cell and atoms, written as Quantum ESPRESSO input:
```
&SYSTEM
  ibrav = 0, nat = 4, ntyp = 3
/
ATOMIC_SPECIES
Sr 87.62 Sr.upf
Y 88.91 Y.upf
Tc 98.00 Tc.upf
ATOMIC_POSITIONS angstrom
Sr 1.6328 2.6361 0.0000
Sr 1.6328 -2.6361 0.0000
Y 0.0000 0.0000 1.7874
Tc 3.2655 0.0000 1.7874
CELL_PARAMETERS angstrom
3.2655 -5.2723 0.0000
3.2655 5.2723 0.0000
0.0000 0.0000 3.5748
```

Size of the total moment (Bohr magnetons per cell): 1.4
Formation energy (eV per atom): 0.834
Calculated total energy (eV/atom): -4.21
Polymorph energy (0 for the lowest one) (kJ/mol of atoms): 49.8